Here is a geometry-optimized PmTm4Pd5 structure from the Alexandria database. Energies are from GGA-PBE.

Cell lengths 3.451, 3.451, 17.814 Å; angles 90.00, 90.00, 90.00 degrees
Space group P4/mmm (No. 123)
Asymmetric unit:
Pm  0.000  0.000  0.000 x1
Tm  0.000  0.000  0.206 x2
Tm  0.000  0.000  0.402 x2
Pd  0.500  0.500  0.113 x2
Pd  0.500  0.500  0.304 x2
Pd  0.500  0.500  0.500 x1

Properties
Density of states at the Fermi level in states/eV/atom: 0.790
Energy of formation in kJ/mol of formula units: -869
Crystal system: tetragonal